Below is a relaxed structure of PmPrSi4, with properties calculated at the PBE-GGA level.

Properties
The polymorph energy (0 for the lowest one) comes out at 308.5 meV/atom. The value obtained for the energy is -5.490 eV/atom. The energy relative to the elements, uncorrected is -1.7 eV/f.u.

Unit cell a=5.4575 b=5.4575 c=5.4575 alpha=60.00 beta=60.00 gamma=60.00
Element x y z (fractional)
1 Pm 0.0000 0.0000 0.0000
2 Pr 0.7500 0.7500 0.7500
3 Si 0.3736 0.3736 0.3736
4 Si 0.3736 0.3736 0.8792
5 Si 0.3736 0.8792 0.3736
6 Si 0.8792 0.3736 0.3736

=====

Below is a relaxed structure of Pm2PrSi, with properties calculated at the PBE-GGA level.

Properties
The polymorph energy (0 for the lowest one) comes out at 354.5 meV/atom. The value obtained for the energy is -4.936 eV/atom. The energy relative to the elements, uncorrected is 0.0 eV/f.u.

Unit cell a=5.3709 b=5.3709 c=5.3709 alpha=60.00 beta=60.00 gamma=60.00
Element x y z (fractional)
1 Pm 0.2500 0.2500 0.2500
2 Pm 0.7500 0.7500 0.7500
3 Pr 0.0000 0.0000 0.0000
4 Si 0.5000 0.5000 0.5000

=====

Below is a relaxed structure of Pm2PrSi2, with properties calculated at the PBE-GGA level.

Properties
The polymorph energy (0 for the lowest one) comes out at 0.0 meV/atom. The value obtained for the energy is -5.650 eV/atom. The energy relative to the elements, uncorrected is -3.1 eV/f.u.

Unit cell a=7.8019 b=7.8019 c=4.2747 alpha=90.00 beta=90.00 gamma=90.00
Element x y z (fractional)
1 Pm 0.1764 0.3236 0.0000
2 Pm 0.3236 0.8236 0.0000
3 Pm 0.6764 0.1764 0.0000
4 Pm 0.8236 0.6764 0.0000
5 Pr 0.0000 0.0000 0.5000
6 Pr 0.5000 0.5000 0.5000
7 Si 0.1107 0.6107 0.5000
8 Si 0.3893 0.1107 0.5000
9 Si 0.6107 0.8893 0.5000
10 Si 0.8893 0.3893 0.5000

=====

Below is a relaxed structure of Pm2PrSi, with properties calculated at the PBE-GGA level.

Properties
The polymorph energy (0 for the lowest one) comes out at 361.0 meV/atom. The value obtained for the energy is -4.930 eV/atom. The energy relative to the elements, uncorrected is 0.0 eV/f.u.

Unit cell a=11.2616 b=11.2616 c=11.2616 alpha=19.02 beta=19.02 gamma=19.02
Element x y z (fractional)
1 Pm 0.1088 0.1088 0.1088
2 Pm 0.8912 0.8912 0.8912
3 Pr 0.0000 0.0000 0.0000
4 Si 0.5000 0.5000 0.5000

=====

Below is a relaxed structure of PmPr2Si, with properties calculated at the PBE-GGA level.

Properties
The polymorph energy (0 for the lowest one) comes out at 47.0 meV/atom. The value obtained for the energy is -5.137 eV/atom. The energy relative to the elements, uncorrected is -0.8 eV/f.u.

Unit cell a=3.9986 b=3.9986 c=7.2949 alpha=90.00 beta=90.00 gamma=90.00
Element x y z (fractional)
1 Pm 0.0000 0.0000 0.0000
2 Pr 0.5000 0.5000 0.2955
3 Pr 0.5000 0.5000 0.7045
4 Si 0.0000 0.0000 0.5000

=====

Below is a relaxed structure of PmPr3Si4, with properties calculated at the PBE-GGA level.

Properties
The value obtained for the energy is -5.617 eV/atom. The energy relative to the elements, uncorrected is -4.2 eV/f.u.

Unit cell a=8.9721 b=8.9721 c=8.9721 alpha=153.01 beta=137.95 gamma=50.68
Element x y z (fractional)
1 Pm 0.0000 0.0000 0.0000
2 Pr 0.1937 0.6937 0.5000
3 Pr 0.5000 0.5000 0.0000
4 Pr 0.8063 0.3063 0.5000
5 Si 0.1879 0.8694 0.3185
6 Si 0.4491 0.1306 0.3185
7 Si 0.5509 0.8694 0.6815
8 Si 0.8121 0.1306 0.6815

=====

Below is a relaxed structure of Pm2PrSi, with properties calculated at the PBE-GGA level.

Properties
The polymorph energy (0 for the lowest one) comes out at 133.6 meV/atom. The value obtained for the energy is -5.157 eV/atom. The energy relative to the elements, uncorrected is -0.9 eV/f.u.

Unit cell a=5.9394 b=4.1722 c=10.4008 alpha=90.00 beta=97.52 gamma=90.00
Element x y z (fractional)
1 Pm 0.0293 0.2500 0.3673
2 Pm 0.2379 0.7500 0.9435
3 Pm 0.7621 0.2500 0.0565
4 Pm 0.9707 0.7500 0.6327
5 Pr 0.4940 0.2500 0.6680
6 Pr 0.5060 0.7500 0.3320
7 Si 0.2989 0.2500 0.1443
8 Si 0.7011 0.7500 0.8557

=====

Below is a relaxed structure of Pm3PrSi, with properties calculated at the PBE-GGA level.

Properties
The value obtained for the energy is -5.079 eV/atom. The energy relative to the elements, uncorrected is -0.9 eV/f.u.

Unit cell a=6.6922 b=10.0232 c=9.3024 alpha=90.00 beta=90.00 gamma=90.00
Element x y z (fractional)
1 Pm 0.1229 0.0563 0.1827
2 Pm 0.1229 0.4437 0.1827
3 Pm 0.2399 0.2500 0.4907
4 Pm 0.2601 0.7500 0.9907
5 Pm 0.3771 0.5563 0.6827
6 Pm 0.3771 0.9437 0.6827
7 Pm 0.6229 0.0563 0.3173
8 Pm 0.6229 0.4437 0.3173
9 Pm 0.7399 0.2500 0.0093
10 Pm 0.7601 0.7500 0.5093
11 Pm 0.8771 0.5563 0.8173
12 Pm 0.8771 0.9437 0.8173
13 Pr 0.2461 0.7500 0.3706
14 Pr 0.2539 0.2500 0.8706
15 Pr 0.7461 0.7500 0.1294
16 Pr 0.7539 0.2500 0.6294
17 Si 0.0000 0.0000 0.5000
18 Si 0.0000 0.5000 0.5000
19 Si 0.5000 0.0000 0.0000
20 Si 0.5000 0.5000 0.0000